Entry from Alexandria via LeMat-Bulk: BMoAs2P at its PBEsol-relaxed geometry (SCAN).

extended XYZ file:
```
5
Lattice="4.223 0.000 0.000 0.000 4.223 0.000 0.000 0.000 4.322" Properties=species:S:1:pos:R:3 pbc="T T T"
P 2.112 2.112 2.161
Mo 0.000 0.000 2.161
B 0.000 0.000 0.000
As 0.000 2.112 0.000
As 2.112 0.000 0.000
```

D(E_F) (states/eV/f.u.): 3.31
Formation enthalpy at 0 K (meV per atom): 1040
Uncorrected energy (eV/cell): -87.9
Calculated volume (Å³ per cell): 77.1